Density functional theory data (PBE with a Hubbard U) for a relaxed structure of MoPt3O.

Electronic total energy in Ry per atom: -0.295
Size of the total moment in μB per formula unit: 0.00
Space-group type: No. 221
Theoretical density in g cm⁻³: 10.3
Fermi-level density of states in states/eV/atom: 1.52

Cell and atoms, written as POSCAR:
```
MoPt3O
1.0
-0.358 3.473 3.329
2.314 -2.802 3.172
4.217 1.833 -1.458
Mo O Pt
1 1 3
Direct
0.000 0.000 0.000
0.500 0.500 0.500
0.000 0.500 0.000
0.500 0.000 0.000
0.000 0.000 0.500
```